Here is NdZr2Cu after structural relaxation from the Alexandria database. Energies are from GGA-PBE.

a = 10.915 Å, b = 10.915 Å, c = 10.915 Å
α = 16.75°, β = 16.75°, γ = 16.75°
Sites, in units of the cell vectors:
Nd 0.000 0.000 0.000
Zr 0.101 0.101 0.101
Zr 0.899 0.899 0.899
Cu 0.500 0.500 0.500

calculated total energy: -6.14 eV/atom
symmetry: R-3m, No. 166
excess energy over the best structure of this formula in the dataset: 0.295 eV/atom
ΔH_f (0 K): 0.35 eV/atom


Here is YTm2Pb after structural relaxation from the Alexandria database. Energies are from GGA-PBE.

a = 4.825 Å, b = 4.825 Å, c = 4.844 Å
α = 90.00°, β = 90.00°, γ = 90.00°
Sites, in units of the cell vectors:
Y 0.000 0.000 0.000
Tm 0.000 0.500 0.500
Tm 0.500 0.000 0.500
Pb 0.500 0.500 0.000

calculated total energy: -5.03 eV/atom
symmetry: P4/mmm, No. 123
excess energy over the best structure of this formula in the dataset: 0.057 eV/atom
ΔH_f (0 K): -0.25 eV/atom


Here is NdErBr6 after structural relaxation from the Alexandria database. Energies are from GGA-PBE.

a = 7.691 Å, b = 7.691 Å, c = 7.691 Å
α = 55.19°, β = 55.19°, γ = 55.19°
Sites, in units of the cell vectors:
Nd 0.000 0.000 0.000
Er 0.500 0.500 0.500
Br 0.098 0.742 0.415
Br 0.258 0.585 0.902
Br 0.415 0.098 0.742
Br 0.585 0.902 0.258
Br 0.742 0.415 0.098
Br 0.902 0.258 0.585

calculated total energy: -4.24 eV/atom
symmetry: R-3, No. 148
excess energy over the best structure of this formula in the dataset: 0.015 eV/atom


Here is CaAlCo after structural relaxation from the Alexandria database. Energies are from GGA-PBE.

a = 4.687 Å, b = 4.687 Å, c = 4.687 Å
α = 60.00°, β = 60.00°, γ = 60.00°
Sites, in units of the cell vectors:
Ca 0.000 0.000 0.000
Al 0.250 0.250 0.250
Co 0.750 0.750 0.750

calculated total energy: -3.28 eV/atom
symmetry: F-43m, No. 216
ΔH_f (0 K): 1.00 eV/atom


Here is HoErP2 after structural relaxation from the Alexandria database. Energies are from GGA-PBE.

a = 7.139 Å, b = 7.139 Å, c = 7.139 Å
α = 32.03°, β = 32.03°, γ = 32.03°
Sites, in units of the cell vectors:
Ho 0.000 0.000 0.000
Er 0.171 0.171 0.171
P 0.584 0.584 0.584
P 0.754 0.754 0.754

calculated total energy: -6.44 eV/atom
symmetry: R3m, No. 160
excess energy over the best structure of this formula in the dataset: 0.169 eV/atom
ΔH_f (0 K): -1.45 eV/atom


Here is LaAgPt after structural relaxation from the Alexandria database. Energies are from GGA-PBE.

a = 4.819 Å, b = 4.819 Å, c = 4.819 Å
α = 60.00°, β = 60.00°, γ = 60.00°
Sites, in units of the cell vectors:
La 0.000 0.000 0.000
Ag 0.500 0.500 0.500
Pt 0.250 0.250 0.250

calculated total energy: -5.28 eV/atom
symmetry: F-43m, No. 216
excess energy over the best structure of this formula in the dataset: 0.101 eV/atom
ΔH_f (0 K): -0.67 eV/atom


Here is LiSb2Ru after structural relaxation from the Alexandria database. Energies are from GGA-PBE.

a = 4.748 Å, b = 4.748 Å, c = 3.329 Å
α = 90.00°, β = 90.00°, γ = 98.31°
Sites, in units of the cell vectors:
Li 0.000 0.000 0.000
Sb 0.000 0.500 0.500
Sb 0.500 0.000 0.500
Ru 0.500 0.500 0.000

calculated total energy: -4.86 eV/atom
symmetry: Cmmm, No. 65
excess energy over the best structure of this formula in the dataset: 0.188 eV/atom


Here is CeDyHoCd after structural relaxation from the Alexandria database. Energies are from GGA-PBE.

a = 5.373 Å, b = 5.373 Å, c = 5.373 Å
α = 60.00°, β = 60.00°, γ = 60.00°
Sites, in units of the cell vectors:
Ce 0.000 0.000 0.000
Dy 0.750 0.750 0.750
Ho 0.250 0.250 0.250
Cd 0.500 0.500 0.500

calculated total energy: -3.94 eV/atom
symmetry: F-43m, No. 216
ΔH_f (0 K): 0.07 eV/atom


Here is Sr2Co2Ge after structural relaxation from the Alexandria database. Energies are from GGA-PBE.

a = 9.959 Å, b = 9.959 Å, c = 9.959 Å
α = 160.11°, β = 160.11°, γ = 28.28°
Sites, in units of the cell vectors:
Sr 0.112 0.112 0.000
Sr 0.888 0.888 0.000
Co 0.250 0.750 0.500
Co 0.750 0.250 0.500
Ge 0.500 0.500 0.000

calculated total energy: -4.33 eV/atom
symmetry: I4/mmm, No. 139
ΔH_f (0 K): 0.11 eV/atom


Here is PrNd2Y after structural relaxation from the Alexandria database. Energies are from GGA-PBE.

a = 5.826 Å, b = 5.826 Å, c = 5.826 Å
α = 60.00°, β = 60.00°, γ = 60.00°
Sites, in units of the cell vectors:
Pr 0.000 0.000 0.000
Nd 0.250 0.250 0.250
Nd 0.750 0.750 0.750
Y 0.500 0.500 0.500

calculated total energy: -5.07 eV/atom
symmetry: Fm-3m, No. 225
excess energy over the best structure of this formula in the dataset: 0.119 eV/atom
ΔH_f (0 K): 0.13 eV/atom


Here is YZr2As after structural relaxation from the Alexandria database. Energies are from GGA-PBE.

a = 8.990 Å, b = 8.990 Å, c = 8.990 Å
α = 23.17°, β = 23.17°, γ = 23.17°
Sites, in units of the cell vectors:
Y 0.000 0.000 0.000
Zr 0.530 0.530 0.530
Zr 0.772 0.772 0.772
As 0.261 0.261 0.261

calculated total energy: -7.49 eV/atom
symmetry: R3m, No. 160
ΔH_f (0 K): -0.44 eV/atom


Here is Tm4Ga16Cu3 after structural relaxation from the Alexandria database. Energies are from GGA-PBE.

a = 6.188 Å, b = 6.188 Å, c = 10.879 Å
α = 90.00°, β = 90.00°, γ = 90.00°
Sites, in units of the cell vectors:
Tm 0.000 0.500 0.190
Tm 0.000 0.500 0.810
Tm 0.500 0.000 0.190
Tm 0.500 0.000 0.810
Ga 0.000 0.000 0.200
Ga 0.000 0.000 0.800
Ga 0.215 0.215 0.000
Ga 0.215 0.785 0.000
Ga 0.243 0.243 0.378
Ga 0.243 0.243 0.622
Ga 0.243 0.757 0.378
Ga 0.243 0.757 0.622
Ga 0.500 0.500 0.231
Ga 0.500 0.500 0.769
Ga 0.757 0.243 0.378
Ga 0.757 0.243 0.622
Ga 0.757 0.757 0.378
Ga 0.757 0.757 0.622
Ga 0.785 0.215 0.000
Ga 0.785 0.785 0.000
Cu 0.000 0.500 0.500
Cu 0.500 0.000 0.500
Cu 0.500 0.500 0.000

calculated total energy: -3.79 eV/atom
symmetry: P4/mmm, No. 123
ΔH_f (0 K): -0.37 eV/atom


Here is In2H5Ru after structural relaxation from the Alexandria database. Energies are from GGA-PBE.

a = 4.563 Å, b = 4.732 Å, c = 4.850 Å
α = 87.40°, β = 75.41°, γ = 69.01°
Sites, in units of the cell vectors:
In 0.000 0.000 0.000
In 0.081 0.573 0.473
H 0.285 0.174 0.676
H 0.405 0.097 0.151
H 0.562 0.504 0.105
H 0.582 0.550 0.670
H 0.693 0.098 0.701
Ru 0.388 0.364 0.913

calculated total energy: -3.86 eV/atom
symmetry: P1, No. 1


Here is PuPaCo10 after structural relaxation from the Alexandria database. Energies are from GGA-PBE.

a = 3.993 Å, b = 4.820 Å, c = 8.442 Å
α = 90.00°, β = 90.00°, γ = 90.00°
Sites, in units of the cell vectors:
Pu 0.000 0.000 0.000
Pa 0.000 0.500 0.500
Co 0.000 0.000 0.340
Co 0.000 0.000 0.660
Co 0.000 0.500 0.182
Co 0.000 0.500 0.818
Co 0.500 0.000 0.500
Co 0.500 0.244 0.246
Co 0.500 0.244 0.754
Co 0.500 0.500 0.000
Co 0.500 0.756 0.246
Co 0.500 0.756 0.754

calculated total energy: -8.04 eV/atom
symmetry: Pmmm, No. 47
ΔH_f (0 K): -0.13 eV/atom


Here is Ba2NiAsN after structural relaxation from the Alexandria database. Energies are from GGA-PBE.

a = 5.904 Å, b = 5.904 Å, c = 3.543 Å
α = 90.00°, β = 90.00°, γ = 90.00°
Sites, in units of the cell vectors:
Ba 0.000 0.500 0.000
Ba 0.500 0.000 0.000
Ni 0.000 0.000 0.500
As 0.500 0.500 0.500
N 0.000 0.000 0.000

calculated total energy: -5.17 eV/atom
symmetry: P4/mmm, No. 123
excess energy over the best structure of this formula in the dataset: 0.000 eV/atom


Here is OsAuNO2 after structural relaxation from the Alexandria database. Energies are from GGA-PBE.

a = 3.914 Å, b = 3.914 Å, c = 3.896 Å
α = 90.00°, β = 90.00°, γ = 90.00°
Sites, in units of the cell vectors:
Os 0.000 0.000 0.000
Au 0.500 0.500 0.500
N 0.000 0.000 0.500
O 0.000 0.500 0.000
O 0.500 0.000 0.000

calculated total energy: -6.25 eV/atom
symmetry: P4/mmm, No. 123


Here is Nd3Hg2Pt3 after structural relaxation from the Alexandria database. Energies are from GGA-PBE.

a = 10.734 Å, b = 10.734 Å, c = 10.734 Å
α = 160.13°, β = 153.23°, γ = 33.56°
Sites, in units of the cell vectors:
Nd 0.000 0.000 0.000
Nd 0.372 0.872 0.500
Nd 0.628 0.128 0.500
Hg 0.233 0.233 0.000
Hg 0.767 0.767 0.000
Pt 0.115 0.615 0.500
Pt 0.500 0.500 0.000
Pt 0.885 0.385 0.500

calculated total energy: -4.91 eV/atom
symmetry: Immm, No. 71
excess energy over the best structure of this formula in the dataset: 0.016 eV/atom
ΔH_f (0 K): -0.78 eV/atom


Here is TbNd2Zn3Pt4 after structural relaxation from the Alexandria database. Energies are from GGA-PBE.

a = 4.192 Å, b = 4.192 Å, c = 11.732 Å
α = 90.00°, β = 90.00°, γ = 90.00°
Sites, in units of the cell vectors:
Tb 0.000 0.000 0.000
Nd 0.000 0.500 0.724
Nd 0.500 0.000 0.276
Zn 0.000 0.500 0.375
Zn 0.500 0.000 0.625
Zn 0.500 0.500 0.000
Pt 0.000 0.000 0.500
Pt 0.000 0.500 0.159
Pt 0.500 0.000 0.841
Pt 0.500 0.500 0.500

calculated total energy: -5.04 eV/atom
symmetry: P-4m2, No. 115
ΔH_f (0 K): -0.82 eV/atom


Here is TcAuS2N after structural relaxation from the Alexandria database. Energies are from GGA-PBE.

a = 4.800 Å, b = 4.800 Å, c = 3.702 Å
α = 90.00°, β = 90.00°, γ = 90.00°
Sites, in units of the cell vectors:
Tc 0.000 0.000 0.000
Au 0.500 0.500 0.500
S 0.000 0.500 0.000
S 0.500 0.000 0.000
N 0.000 0.000 0.500

calculated total energy: -5.54 eV/atom
symmetry: P4/mmm, No. 123
excess energy over the best structure of this formula in the dataset: 0.000 eV/atom


Here is TiOsRhAu2 after structural relaxation from the Alexandria database. Energies are from GGA-PBE.

a = 4.944 Å, b = 4.944 Å, c = 4.570 Å
α = 90.00°, β = 90.00°, γ = 90.00°
Sites, in units of the cell vectors:
Ti 0.000 0.000 0.000
Os 0.500 0.500 0.000
Rh 0.500 0.500 0.500
Au 0.000 0.500 0.500
Au 0.500 0.000 0.500

calculated total energy: -5.21 eV/atom
symmetry: P4/mmm, No. 123
ΔH_f (0 K): 1.40 eV/atom


Here is BaZnIn4 after structural relaxation from the Alexandria database. Energies are from GGA-PBE.

a = 6.338 Å, b = 6.338 Å, c = 6.338 Å
α = 60.00°, β = 60.00°, γ = 60.00°
Sites, in units of the cell vectors:
Ba 0.000 0.000 0.000
Zn 0.250 0.250 0.250
In 0.126 0.625 0.625
In 0.625 0.126 0.625
In 0.625 0.625 0.126
In 0.625 0.625 0.625

calculated total energy: -2.43 eV/atom
symmetry: F-43m, No. 216
excess energy over the best structure of this formula in the dataset: 0.178 eV/atom
ΔH_f (0 K): -0.08 eV/atom


Here is Li2In3Ag7 after structural relaxation from the Alexandria database. Energies are from GGA-PBE.

a = 9.427 Å, b = 9.427 Å, c = 9.427 Å
α = 34.59°, β = 34.59°, γ = 34.59°
Sites, in units of the cell vectors:
Li 0.166 0.166 0.166
Li 0.834 0.834 0.834
In 0.363 0.363 0.363
In 0.500 0.500 0.500
In 0.637 0.637 0.637
Ag 0.000 0.000 0.000
Ag 0.084 0.084 0.577
Ag 0.084 0.577 0.084
Ag 0.423 0.916 0.916
Ag 0.577 0.084 0.084
Ag 0.916 0.423 0.916
Ag 0.916 0.916 0.423

calculated total energy: -2.69 eV/atom
symmetry: R-3m, No. 166
excess energy over the best structure of this formula in the dataset: 0.068 eV/atom
ΔH_f (0 K): -0.02 eV/atom


Here is Dy3Mg5Rh2 after structural relaxation from the Alexandria database. Energies are from GGA-PBE.

a = 9.457 Å, b = 9.457 Å, c = 9.457 Å
α = 112.66°, β = 79.83°, γ = 142.32°
Sites, in units of the cell vectors:
Dy 0.174 0.208 0.382
Dy 0.250 0.250 0.000
Dy 0.326 0.708 0.034
Dy 0.674 0.292 0.966
Dy 0.750 0.750 0.000
Dy 0.826 0.792 0.618
Mg 0.055 0.750 0.305
Mg 0.072 0.723 0.795
Mg 0.250 0.750 0.500
Mg 0.428 0.223 0.651
Mg 0.445 0.750 0.695
Mg 0.555 0.250 0.305
Mg 0.572 0.777 0.349
Mg 0.750 0.250 0.500
Mg 0.928 0.277 0.205
Mg 0.945 0.250 0.695
Rh 0.162 0.938 0.100
Rh 0.338 0.438 0.776
Rh 0.662 0.562 0.224
Rh 0.838 0.062 0.900

calculated total energy: -3.94 eV/atom
symmetry: Ibam, No. 72
ΔH_f (0 K): -0.29 eV/atom


Here is Y2Pu3USe6 after structural relaxation from the Alexandria database. Energies are from GGA-PBE.

a = 9.166 Å, b = 9.166 Å, c = 8.274 Å
α = 102.45°, β = 102.45°, γ = 25.71°
Sites, in units of the cell vectors:
Y 0.166 0.166 0.337
Y 0.834 0.834 0.663
Pu 0.166 0.166 0.836
Pu 0.500 0.500 0.500
Pu 0.834 0.834 0.164
U 0.500 0.500 0.000
Se 0.001 0.001 0.250
Se 0.331 0.331 0.417
Se 0.333 0.333 0.912
Se 0.667 0.667 0.088
Se 0.669 0.669 0.583
Se 0.999 0.999 0.750

calculated total energy: -8.87 eV/atom
symmetry: C2/m, No. 12


Here is Zn2InNi after structural relaxation from the Alexandria database. Energies are from GGA-PBE.

a = 8.400 Å, b = 8.400 Å, c = 8.400 Å
α = 21.01°, β = 21.01°, γ = 21.01°
Sites, in units of the cell vectors:
Zn 0.000 0.000 0.000
Zn 0.249 0.249 0.249
In 0.761 0.761 0.761
Ni 0.511 0.511 0.511

calculated total energy: -2.65 eV/atom
symmetry: R3m, No. 160
ΔH_f (0 K): 0.11 eV/atom